A plane-wave DFT calculation with PBE was carried out for a geometry-optimized CaTm2N structure.

Cell: 3.456 3.456 9.522 Å, 79.55 79.55 60.00°
Site moments in Bohr magnetons follow the coordinates.
Positions (direct):
Tm (0.880, 0.880, 0.360)  0.10
Tm (0.120, 0.120, 0.640)  0.10
N (0.500, 0.500, 0.500)  -0.01
Ca (0.000, 0.000, 0.000)  0.00

Values from the calculation:
- Final energy: -22.05 eV for the cell shown
- D(E_F): 3.99 states/eV per cell
- Total magnetization: 0.063 μB/atom
- Mass density: 6.8 g cm⁻³
- ΔE_f (raw): -0.695 eV/atom